The following is a PBE calculation of an optimized crystal structure of Be3SnO, from Alexandria.

Summary:
For the energy above the most stable polymorph in this dataset, the calculation gives 0.00 eV per formula unit. The size of the total moment is 0.00 μB per cell.

Cell: 3.819 3.819 3.819 Å, 90.00 90.00 90.00°
Element x y z (fractional)
Be: 0.000 0.000 0.500
Be: 0.000 0.500 0.000
Be: 0.500 0.000 0.000
Sn: 0.500 0.500 0.500
O: 0.000 0.000 0.000

***

The following is a PBE calculation of an optimized crystal structure of Nd2Mg3Sn4, from Alexandria.

Summary:
As for the formation energy: -0.469 eV per atom. The size of the total moment is 0.00 μB per cell.

Cell: 8.964 8.964 8.631 Å, 90.00 90.00 137.63°
Element x y z (fractional)
Nd: 0.114 0.886 0.916
Nd: 0.386 0.614 0.416
Nd: 0.614 0.386 0.584
Nd: 0.886 0.114 0.084
Mg: 0.000 0.000 0.500
Mg: 0.035 0.465 0.750
Mg: 0.465 0.035 0.250
Mg: 0.500 0.500 0.000
Mg: 0.535 0.965 0.750
Mg: 0.965 0.535 0.250
Sn: 0.184 0.816 0.548
Sn: 0.205 0.295 0.750
Sn: 0.295 0.205 0.250
Sn: 0.316 0.684 0.048
Sn: 0.684 0.316 0.952
Sn: 0.705 0.795 0.750
Sn: 0.795 0.705 0.250
Sn: 0.816 0.184 0.452

***

The following is a PBE calculation of an optimized crystal structure of Na2CdAs, from Alexandria.

Summary:
As for the formation energy: -0.179 eV per atom. For the energy above the most stable polymorph in this dataset, the calculation gives 0.08 eV per formula unit. The size of the total moment is 0.00 μB per cell.

Cell: 7.177 7.177 7.177 Å, 90.00 90.00 90.00°
Element x y z (fractional)
Na: 0.250 0.250 0.250
Na: 0.250 0.250 0.750
Na: 0.250 0.750 0.250
Na: 0.250 0.750 0.750
Na: 0.750 0.250 0.250
Na: 0.750 0.250 0.750
Na: 0.750 0.750 0.250
Na: 0.750 0.750 0.750
Cd: 0.000 0.000 0.000
Cd: 0.000 0.500 0.500
Cd: 0.500 0.000 0.500
Cd: 0.500 0.500 0.000
As: 0.000 0.000 0.500
As: 0.000 0.500 0.000
As: 0.500 0.000 0.000
As: 0.500 0.500 0.500